No. 1
The following is a PBE with a Hubbard U calculation of a relaxed FeH4C2O6 crystal, from Alexandria.

## Properties
Total energy ... -82.6 eV/f.u.
Crystal system ... monoclinic
Calculated volume ... 279.36 Å³/cell
Magnetic moment ... 8.01 Bohr magnetons per cell
D(E_F) ... 0.000 states/eV/cell
Symmetry ... No. 15

```
FeH4C2O6
1.0
5.671 0.000 0.000
2.835 6.533 -0.022
2.835 0.114 7.540
Fe H C O
2 8 4 12
Cartesian
6.237 4.928 1.869
5.105 1.719 5.650
3.688 1.016 1.065
6.524 2.307 2.694
7.653 5.631 6.453
4.818 4.340 4.824
3.417 1.039 2.677
6.253 2.284 1.083
7.924 5.608 4.842
5.089 4.363 6.436
3.404 4.911 1.088
3.404 4.946 2.649
7.937 1.736 6.430
7.937 1.701 4.869
4.531 4.900 0.510
4.531 4.957 3.227
6.810 1.747 7.008
6.810 1.691 4.291
7.947 4.894 0.507
7.947 4.963 3.230
3.395 1.753 7.011
3.395 1.684 4.288
3.362 0.496 1.846
6.197 2.827 1.913
7.980 6.151 5.673
5.144 3.820 5.605
```

---

No. 2
The following is a PBE with a Hubbard U calculation of a relaxed FePH5CO4 crystal, from Alexandria.

## Properties
Total energy ... -70.7 eV/f.u.
Crystal system ... triclinic
Calculated volume ... 255.35 Å³/cell
Magnetic moment ... 8.00 Bohr magnetons per cell
D(E_F) ... 0.000 states/eV/cell
Symmetry ... No. 1

```
FePH5CO4
1.0
-2.720 -2.770 2.981
1.036 -4.374 -3.628
7.395 -2.182 4.730
Fe P H C O
2 2 10 2 8
Cartesian
6.617 -2.795 5.226
-1.272 -4.267 0.459
0.637 -6.595 -0.737
6.089 -4.445 2.464
2.604 -5.898 3.596
3.000 -6.218 -0.680
1.659 -2.133 0.015
4.230 -4.156 5.434
5.137 -7.101 2.470
1.498 -3.558 -0.680
4.084 -3.246 1.904
2.357 -6.637 0.940
1.558 -3.544 3.344
4.359 -4.625 0.802
1.272 -2.496 3.497
4.843 -3.799 1.337
1.957 -2.687 -0.746
4.430 -3.200 5.298
5.418 -5.379 3.468
-1.364 -3.128 3.655
-0.417 -2.527 1.348
7.197 -5.158 1.617
6.829 -3.231 3.130
0.315 -5.073 -0.605
```

---

No. 3
The following is a PBE with a Hubbard U calculation of a relaxed FePH3CO7 crystal, from Alexandria.

## Properties
Total energy ... -84.4 eV/f.u.
Crystal system ... triclinic
Calculated volume ... 280.36 Å³/cell
Magnetic moment ... 9.95 Bohr magnetons per cell
D(E_F) ... 0.000 states/eV/cell
Symmetry ... No. 2

```
FePH3CO7
1.0
-4.399 0.309 -2.593
-2.571 -1.209 7.183
2.518 7.206 1.134
Fe P H C O
2 2 6 2 14
Cartesian
-1.946 4.652 4.696
-2.506 1.654 1.028
-4.407 2.704 3.444
-0.045 3.603 2.280
-4.867 1.960 5.535
0.415 4.346 0.189
0.251 6.234 3.159
-4.702 0.072 2.565
-3.526 6.410 3.507
-0.925 -0.104 2.218
-0.414 7.136 -0.127
-4.037 -0.830 5.851
-3.301 3.719 3.714
-1.150 2.588 2.010
-2.540 6.358 3.643
-1.911 -0.051 2.082
-0.847 5.937 5.996
-3.604 0.370 -0.272
-4.551 1.670 4.627
0.100 4.636 1.097
-4.079 1.804 2.231
-0.373 4.502 3.493
-3.401 5.173 6.139
-1.050 1.134 -0.415
-1.381 3.103 5.865
-3.070 3.203 -0.141
```